Material: Mn2SnSbO6
Method: DFT, GGA+U
State: relaxed

## Properties
E in eV/cell: -203.8
Fermi-level density of states in states/eV/atom: 0.199

Lattice parameters (Å, degrees): 5.5035 5.5035 14.5428 90.00 90.00 120.00
Space group R3 (No. 146, hexagonal axes)
Symmetry-distinct sites (fractional):
Mn (0.0000, 0.0000, 0.0000) [3 per cell]
Mn (0.0000, 0.0000, 0.4995) [3 per cell]
Sn (0.0000, 0.0000, 0.7149) [3 per cell]
Sb (0.0000, 0.0000, 0.2147) [3 per cell]
O (0.0458, 0.3572, 0.2826) [9 per cell]
O (0.0461, 0.6887, 0.7825) [9 per cell]